*i*
A geometry-optimized PmPrCuNi structure, computed with PBE.

The structure in extended XYZ format:
```
4
Lattice="3.855 0.000 0.000 0.000 4.472 0.000 -1.928 0.000 5.332" Properties=species:S:1:pos:R:3 pbc="T T T"
Ni 0.000 0.000 4.610
Pm 1.928 2.236 3.857
Cu 1.928 2.236 0.715
Pr 0.000 0.000 1.482
```

The total magnetization is 0.00 μB per formula unit. The volume comes out at 91.92 Å³ per cell. The density comes out at 7.37 g/cm3.


*ii*
A geometry-optimized PmPrCuNi structure, computed with PBE.

The structure in extended XYZ format:
```
4
Lattice="5.014 0.000 0.000 2.507 4.342 0.000 2.507 1.447 4.094" Properties=species:S:1:pos:R:3 pbc="T T T"
Cu 2.507 1.447 1.023
Pr 0.000 0.000 0.000
Ni 7.521 4.342 3.070
Pm 5.014 2.895 2.047
```

The total magnetization is 0.00 μB per formula unit. The volume comes out at 89.13 Å³ per cell. The density comes out at 7.60 g/cm3.


Energies in eV/atom, measured from the most stable structure: *i* 0.000; *ii* 0.065.